MnPdPt2F: relaxed, GGA+U.

- N(E_F) (states/eV per cell) = 3.7
- calculated total energy (eV per atom) = -4.958
- space-group type = P4/mmm, No. 123

Cell: 5.0008 3.8931 5.0008 Å, 90.00 90.00 90.00°
With the nearest neighbours (Å) after each atom.
Sites, in units of the cell vectors:
Mn: 0.5000 0.5000 0.5000  8 Pt 3.17, 4 F 3.54
Pd: 0.0000 0.0000 0.0000  2 F 1.95
Pt: 0.0000 0.0000 0.5000  2 Pd 2.50
Pt: 0.5000 0.0000 0.0000  2 Pd 2.50
F: 0.0000 0.5000 0.0000  2 Pd 1.95